# 1
Ac3Al7Zn2 | the Alexandria database | PBE | relaxed; E_form = -0.340 eV/atom
1.0
-3.478 4.151 -2.211
-5.693 0.068 1.345
-1.305 6.682 6.859
Ac Al Zn
3 7 2
Direct
0.141 0.141 0.578 Ac
0.859 0.859 0.422 Ac
0.000 0.000 0.000 Ac
0.500 0.500 0.500 Al
0.418 0.927 0.237 Al
0.582 0.073 0.763 Al
0.927 0.418 0.237 Al
0.582 0.582 0.763 Al
0.073 0.582 0.763 Al
0.418 0.418 0.237 Al
0.665 0.665 0.006 Zn
0.335 0.335 0.994 Zn



# 2
Ac4AlZn | the Alexandria database | PBE | relaxed; E_form = -0.001 eV/atom
1.0
-5.425 0.134 0.643
-0.213 -5.420 -0.664
0.877 -0.968 7.606
Zn Ac Al
1 4 1
Direct
0.001 0.997 0.498 Zn
0.501 0.997 0.746 Ac
0.501 0.997 0.251 Ac
0.001 0.497 0.251 Ac
0.001 0.497 0.746 Ac
0.501 0.497 0.998 Al



# 3
AcAl4Zn3 | the Alexandria database | PBE | relaxed; E_form = -0.247 eV/atom
1.0
4.417 0.000 0.000
0.000 4.417 0.000
0.000 0.000 8.178
Zn Al Ac
3 4 1
Direct
0.500 0.500 0.347 Zn
0.500 0.500 0.653 Zn
0.000 0.000 0.000 Zn
0.000 0.500 0.828 Al
0.000 0.500 0.172 Al
0.500 0.000 0.828 Al
0.500 0.000 0.172 Al
0.000 0.000 0.500 Ac



# 4
AcAl2Zn3 | the Alexandria database | PBE | relaxed; E_form = -0.239 eV/atom
1.0
5.827 0.000 0.000
0.000 6.538 0.053
0.000 -1.262 6.416
Ac Zn Al
2 6 4
Direct
0.750 0.676 0.676 Ac
0.250 0.324 0.324 Ac
0.750 0.455 0.126 Zn
0.750 0.126 0.455 Zn
0.250 0.545 0.874 Zn
0.750 0.064 0.064 Zn
0.250 0.874 0.545 Zn
0.250 0.936 0.936 Zn
0.000 0.787 0.213 Al
0.500 0.787 0.213 Al
0.000 0.213 0.787 Al
0.500 0.213 0.787 Al



# 5
Ac6AlZn | the Alexandria database | PBE | relaxed; E_form = -0.110 eV/atom
1.0
-2.265 -4.138 3.053
3.116 -3.758 -2.783
7.396 -2.975 6.626
Zn Ac Al
1 6 1
Direct
0.000 0.000 0.000 Zn
0.400 0.900 0.201 Ac
0.900 0.400 0.201 Ac
0.100 0.600 0.799 Ac
0.600 0.100 0.799 Ac
0.252 0.252 0.496 Ac
0.748 0.748 0.504 Ac
0.500 0.500 0.000 Al



# 6
AcAlZn11 | the Alexandria database | PBE | relaxed; E_form = -0.158 eV/atom
1.0
4.923 0.025 2.051
2.435 6.461 1.014
-0.022 0.012 6.986
Zn Al Ac
11 1 1
Direct
0.501 0.772 0.232 Zn
0.000 0.000 0.500 Zn
0.642 0.358 0.359 Zn
0.358 0.642 0.641 Zn
0.500 0.000 0.500 Zn
0.267 0.228 0.232 Zn
0.001 0.358 0.641 Zn
0.499 0.228 0.768 Zn
0.000 0.500 0.000 Zn
0.999 0.642 0.359 Zn
0.733 0.772 0.768 Zn
0.500 0.500 0.000 Al
0.000 0.000 0.000 Ac



# 7
Ac3AlZn3 | the Alexandria database | PBE | relaxed; E_form = -0.274 eV/atom
1.0
4.762 0.000 0.717
2.363 5.612 0.476
0.206 -0.181 14.798
Zn Ac Al
6 6 2
Direct
0.062 0.112 0.765 Zn
0.100 0.877 0.923 Zn
0.900 0.123 0.077 Zn
0.938 0.888 0.235 Zn
0.866 0.730 0.538 Zn
0.134 0.270 0.462 Zn
0.605 0.712 0.077 Ac
0.395 0.288 0.923 Ac
0.543 0.300 0.614 Ac
0.237 0.296 0.229 Ac
0.457 0.700 0.386 Ac
0.763 0.704 0.771 Ac
0.250 0.898 0.602 Al
0.750 0.102 0.398 Al



# 8
Ac3Al8Zn3 | the Alexandria database | PBE | relaxed; E_form = -0.294 eV/atom
1.0
-3.973 1.250 -1.800
-3.153 -7.192 -3.757
-6.035 -3.070 5.471
Ac Al Zn
3 8 3
Direct
0.182 0.818 0.818 Ac
0.818 0.182 0.182 Ac
0.500 0.500 0.500 Ac
0.166 0.200 0.468 Al
0.368 0.357 0.907 Al
0.834 0.532 0.800 Al
0.632 0.093 0.643 Al
0.632 0.643 0.093 Al
0.166 0.468 0.200 Al
0.368 0.907 0.357 Al
0.834 0.800 0.532 Al
0.000 0.773 0.227 Zn
0.000 0.227 0.773 Zn
0.500 0.000 0.000 Zn